# 1
DFT (GGA-PBE) results for an optimized crystal structure of BaAl2Pb.

Computed properties:
ΔE_f = 0.24 eV per formula unit
crystal system = tetragonal
calculated total energy = -0.2366 Ry per atom
symmetry = I4/mmm (139)

a = 5.7138 Å, b = 5.7138 Å, c = 5.7138 Å
α = 126.51°, β = 126.56°, γ = 79.01°
With the nearest neighbours (Å) after each atom.
Fractional positions:
Pb (0.2500, 0.7500, 0.5000)  8 Al 3.38-3.39, 4 Ba 3.63
Al (0.5001, 0.5001, 0.0000)  4 Pb 3.38-3.39, 4 Ba 3.39, 4 Al 3.63
Al (0.9999, 0.9999, 0.0000)  4 Pb 3.38-3.39, 4 Ba 3.39, 4 Al 3.63
Ba (0.7500, 0.2500, 0.5000)  8 Al 3.39, 4 Pb 3.63

=====

# 2
DFT (GGA-PBE) results for an optimized crystal structure of BaAlPb.

Computed properties:
ΔE_f = -0.35 eV per formula unit
crystal system = cubic
calculated total energy = -0.2383 Ry per atom
symmetry = F-43m (216)

a = 5.3358 Å, b = 5.3358 Å, c = 5.3358 Å
α = 60.00°, β = 60.00°, γ = 60.00°
With the nearest neighbours (Å) after each atom.
Fractional positions:
Pb (0.5000, 0.5000, 0.5000)  4 Al 3.27
Al (0.7500, 0.7500, 0.7500)  4 Ba 3.27, 4 Pb 3.27
Ba (0.0000, 0.0000, 0.0000)  4 Al 3.27

=====

# 3
DFT (GGA-PBE) results for an optimized crystal structure of Ba5Al2Pb5.

Computed properties:
ΔE_f = -4.98 eV per formula unit
crystal system = monoclinic
calculated total energy = -0.2488 Ry per atom
symmetry = C2/m (12)

a = 4.5022 Å, b = 9.5825 Å, c = 11.3868 Å
α = 80.62°, β = 78.60°, γ = 76.41°
With the nearest neighbours (Å) after each atom.
Fractional positions:
Ba (0.6166, 0.0783, 0.6884)  5 Pb 3.67-3.80, 1 Al 3.95, 1 Ba 4.04
Pb (0.0000, 0.0000, 0.0000)  2 Pb 3.39, 4 Ba 3.76
Ba (0.3097, 0.2948, 0.0858)  3 Al 3.65-3.91, 7 Pb 3.67-3.87, 1 Ba 4.04
Ba (0.3834, 0.9217, 0.3116)  5 Pb 3.67-3.80, 1 Al 3.95, 1 Ba 4.04
Al (0.6198, 0.5143, 0.2462)  3 Pb 2.77-2.80
Pb (0.3019, 0.7658, 0.6303)  1 Al 2.80
Ba (0.0000, 0.5000, 0.5000)  4 Al 3.61, 6 Pb 3.77-3.79
Pb (0.6981, 0.2342, 0.3697)  1 Al 2.80
Pb (0.0744, 0.6759, 0.1753)  2 Al 2.77
Ba (0.6903, 0.7052, 0.9142)  3 Al 3.65-3.91, 7 Pb 3.67-3.87, 1 Ba 4.04
Al (0.3802, 0.4857, 0.7538)  3 Pb 2.77-2.80
Pb (0.9256, 0.3241, 0.8247)  2 Al 2.77

=====

# 4
DFT (GGA-PBE) results for an optimized crystal structure of Ba2AlPb.

Computed properties:
offset from the most stable computed form = 371 meV per atom
ΔE_f = 0.03 eV per formula unit
crystal system = cubic
calculated total energy = -0.2069 Ry per atom
symmetry = F-43m (216)

a = 5.9493 Å, b = 5.9493 Å, c = 5.9493 Å
α = 60.00°, β = 60.00°, γ = 60.00°
With the nearest neighbours (Å) after each atom.
Fractional positions:
Pb (0.7500, 0.7500, 0.7500)  4 Ba 3.64, 4 Al 3.64
Ba (0.0000, 0.0000, 0.0000)  4 Ba 3.64, 4 Pb 3.64
Al (0.5000, 0.5000, 0.5000)  4 Pb 3.64, 4 Ba 3.64
Ba (0.2500, 0.2500, 0.2500)  4 Ba 3.64, 4 Al 3.64

=====

# 5
DFT (GGA-PBE) results for an optimized crystal structure of BaAl2Pb.

Computed properties:
ΔE_f = -0.12 eV per formula unit
crystal system = orthorhombic
calculated total energy = -0.2432 Ry per atom
symmetry = Pmmm (47)

a = 3.8618 Å, b = 4.0525 Å, c = 7.5160 Å
α = 90.00°, β = 90.00°, γ = 90.00°
With the nearest neighbours (Å) after each atom.
Fractional positions:
Al (0.0000, 0.0000, 0.9345)  1 Al 2.77
Ba (0.5000, 0.5000, 0.2500)  8 Al 3.67, 2 Pb 3.76, 4 Ba 3.86-4.05
Al (0.0000, 0.0000, 0.5655)  1 Al 2.77
Pb (0.5000, 0.5000, 0.7500)  8 Al 3.12

=====

# 6
DFT (GGA-PBE) results for an optimized crystal structure of BaAl3Pb.

Computed properties:
offset from the most stable computed form = 0 meV per atom
ΔE_f = 2.43 eV per formula unit
crystal system = cubic
calculated total energy = -0.2121 Ry per atom
symmetry = Pm-3m (221)

a = 5.5539 Å, b = 5.5539 Å, c = 5.5539 Å
α = 90.00°, β = 90.00°, γ = 90.00°
With the nearest neighbours (Å) after each atom.
Fractional positions:
Ba (0.5000, 0.5000, 0.5000)  12 Al 3.93
Al (0.5000, 0.0000, 0.0000)  2 Pb 2.78
Pb (0.0000, 0.0000, 0.0000)  6 Al 2.78
Al (0.0000, 0.5000, 0.0000)  2 Pb 2.78
Al (0.0000, 0.0000, 0.5000)  2 Pb 2.78

=====

# 7
DFT (GGA-PBE) results for an optimized crystal structure of BaAl2Pb.

Computed properties:
ΔE_f = -0.36 eV per formula unit
crystal system = tetragonal
calculated total energy = -0.2476 Ry per atom
symmetry = P4mm (99)

a = 3.7826 Å, b = 3.7826 Å, c = 7.8258 Å
α = 90.00°, β = 90.00°, γ = 90.00°
With the nearest neighbours (Å) after each atom.
Fractional positions:
Ba (0.0000, 0.0000, 0.4766)  5 Al 3.47-3.55, 4 Pb 3.74, 4 Ba 3.78
Pb (0.5000, 0.5000, 0.8114)  5 Al 2.88-3.19
Al (0.5000, 0.5000, 0.1792)  1 Pb 2.88, 4 Al 2.91
Al (0.0000, 0.0000, 0.0328)  4 Al 2.91, 4 Pb 3.19

=====

# 8
DFT (GGA-PBE) results for an optimized crystal structure of BaAl2Pb.

Computed properties:
ΔE_f = -0.22 eV per formula unit
crystal system = monoclinic
calculated total energy = -0.2451 Ry per atom
symmetry = C2/m (12)

a = 5.2060 Å, b = 5.2060 Å, c = 6.3569 Å
α = 71.96°, β = 71.96°, γ = 50.47°
With the nearest neighbours (Å) after each atom.
Fractional positions:
Ba (0.7500, 0.7500, 0.7500)  8 Al 3.55-3.90, 4 Pb 3.88
Al (0.9824, 0.9824, 0.1116)  2 Al 2.92, 3 Pb 2.94-3.03
Pb (0.2500, 0.2500, 0.2500)  6 Al 2.94-3.03
Al (0.5176, 0.5176, 0.3884)  2 Al 2.92, 3 Pb 2.94-3.03

=====

# 9
DFT (GGA-PBE) results for an optimized crystal structure of BaAlPb.

Computed properties:
ΔE_f = -0.53 eV per formula unit
crystal system = tetragonal
calculated total energy = -0.2425 Ry per atom
symmetry = I4mm (107)

a = 6.8967 Å, b = 6.8974 Å, c = 3.9081 Å
α = 73.53°, β = 73.55°, γ = 32.92°
With the nearest neighbours (Å) after each atom.
Fractional positions:
Al (0.0284, 0.0284, 0.9716)  4 Pb 3.07
Ba (0.3379, 0.3379, 0.6621)  5 Al 3.66-3.91, 5 Pb 3.74-3.78, 4 Ba 3.91
Pb (0.6337, 0.6337, 0.3663)  4 Al 3.07

=====

# 10
DFT (GGA-PBE) results for an optimized crystal structure of BaAlPb.

Computed properties:
ΔE_f = -0.97 eV per formula unit
crystal system = trigonal
calculated total energy = -0.2533 Ry per atom
symmetry = P3m1 (156)

a = 4.7816 Å, b = 4.7816 Å, c = 5.2258 Å
α = 90.00°, β = 90.00°, γ = 120.00°
With the nearest neighbours (Å) after each atom.
Fractional positions:
Pb (0.3333, 0.6667, 0.7852)  3 Al 2.81
Al (0.0000, 0.0000, 0.8896)  3 Pb 2.81
Ba (0.6667, 0.3333, 0.3252)  3 Al 3.58, 6 Pb 3.66-3.95

=====

# 11
DFT (GGA-PBE) results for an optimized crystal structure of BaAlPdPb2.

Computed properties:
ΔE_f = 2.03 eV per formula unit
crystal system = tetragonal
calculated total energy = -0.2387 Ry per atom
symmetry = P4/mmm (123)

a = 5.3103 Å, b = 6.2826 Å, c = 5.3103 Å
α = 90.00°, β = 90.00°, γ = 90.00°
With the nearest neighbours (Å) after each atom.
Fractional positions:
Pd (0.5000, 0.5000, 0.5000)  4 Ba 3.75, 8 Pb 4.11
Ba (0.0000, 0.5000, 0.0000)  2 Al 3.14
Al (0.0000, 0.0000, 0.0000)  4 Pb 2.66
Pb (0.0000, 0.0000, 0.5000)  2 Al 2.66
Pb (0.5000, 0.0000, 0.0000)  2 Al 2.66

=====

# 12
DFT (GGA-PBE) results for an optimized crystal structure of RbBa2AlPb.

Computed properties:
offset from the most stable computed form = 0 meV per atom
ΔE_f = 0.16 eV per formula unit
crystal system = tetragonal
calculated total energy = -0.1779 Ry per atom
symmetry = P4/mmm (123)

a = 6.6792 Å, b = 5.6277 Å, c = 6.6792 Å
α = 90.00°, β = 90.00°, γ = 90.00°
With the nearest neighbours (Å) after each atom.
Fractional positions:
Ba (0.0000, 0.0000, 0.5000)  2 Al 3.34
Pb (0.0000, 0.5000, 0.0000)  2 Al 2.81
Rb (0.5000, 0.5000, 0.5000)  8 Ba 4.37, 4 Pb 4.72
Ba (0.5000, 0.0000, 0.0000)  2 Al 3.34
Al (0.0000, 0.0000, 0.0000)  2 Pb 2.81

=====

Question: Among the records above, which one has the lowest calculated total energy?
Answer: number 10